Entry from the Alexandria database: a relaxed structure of La3Tb5Bi12 (PBE-GGA). Values from VASP.

Computed properties:
Magnetic moment ... 0.00 μB per formula unit
Calculated volume ... 3229.1 Å³ per cell
Theoretical density ... 7.650 g/cm³
Energy of formation ... -5.0 eV per formula unit
Symmetry ... Ia-3d, No. 230

```
&SYSTEM
  ibrav = 0, nat = 80, ntyp = 3
/
ATOMIC_SPECIES
La 138.91 La.upf
Bi 208.98 Bi.upf
Tb 158.93 Tb.upf
CELL_PARAMETERS angstrom
16.128 0.000 0.000
-5.376 15.205 0.000
-5.376 -7.603 13.168
ATOMIC_POSITIONS crystal
La 0.125 0.875 0.750
Bi 0.136 0.735 0.562
Bi 0.562 0.327 0.926
Bi 0.426 0.364 0.599
Bi 0.938 0.574 0.173
Bi 0.235 0.562 0.636
Bi 0.673 0.235 0.599
Bi 0.765 0.327 0.901
Bi 0.636 0.062 0.235
Bi 0.327 0.765 0.401
Tb 0.375 0.250 0.125
Bi 0.136 0.401 0.074
Tb 0.500 0.500 0.000
Bi 0.735 0.599 0.173
Tb 0.250 0.375 0.625
Bi 0.938 0.364 0.265
Bi 0.099 0.173 0.235
Tb 0.500 0.500 0.500
Bi 0.599 0.864 0.426
Bi 0.926 0.099 0.864
Bi 0.265 0.864 0.938
Bi 0.574 0.938 0.673
Bi 0.735 0.136 0.062
La 0.625 0.250 0.375
Bi 0.426 0.062 0.327
Bi 0.173 0.074 0.938
Bi 0.074 0.901 0.136
Bi 0.562 0.235 0.136
La 0.875 0.125 0.250
Bi 0.599 0.735 0.673
Tb 0.875 0.625 0.750
Tb 0.250 0.875 0.125
Tb 0.500 0.000 0.500
Bi 0.827 0.926 0.062
Bi 0.099 0.926 0.364
Bi 0.235 0.673 0.099
Tb 0.875 0.250 0.625
Tb 0.125 0.750 0.375
Bi 0.327 0.562 0.426
Bi 0.765 0.438 0.364
La 0.750 0.375 0.125
La 0.375 0.750 0.625
La 0.250 0.125 0.375
Tb 0.625 0.875 0.250
Tb 0.000 0.500 0.500
La 0.125 0.250 0.875
Bi 0.864 0.599 0.926
Bi 0.926 0.827 0.562
La 0.875 0.750 0.125
Bi 0.574 0.636 0.401
Bi 0.074 0.173 0.438
Bi 0.401 0.265 0.327
Bi 0.438 0.673 0.074
Bi 0.901 0.074 0.636
Bi 0.901 0.827 0.765
Tb 0.750 0.125 0.875
Bi 0.827 0.901 0.265
La 0.750 0.875 0.625
Tb 0.625 0.750 0.875
Tb 0.500 0.000 0.000
Tb 0.125 0.375 0.250
Bi 0.364 0.938 0.765
Tb 0.000 0.500 0.000
La 0.375 0.625 0.250
Tb 0.000 0.000 0.000
Bi 0.062 0.426 0.827
Bi 0.265 0.401 0.827
La 0.625 0.375 0.750
La 0.250 0.625 0.875
Tb 0.750 0.625 0.375
Bi 0.636 0.574 0.901
Tb 0.000 0.000 0.500
Bi 0.673 0.438 0.574
Bi 0.173 0.099 0.735
Bi 0.401 0.136 0.574
Bi 0.438 0.765 0.864
Bi 0.062 0.636 0.735
Bi 0.364 0.426 0.099
Bi 0.864 0.265 0.438
Tb 0.375 0.125 0.750
```